Entry from the Alexandria database: a relaxed Sm2Ga4Ag3 crystal (PBE).

Formation enthalpy at 0 K   -0.37 eV/atom
Electronic total energy   -3.719 eV/atom

```
data_Sm2Ga4Ag3
_space_group_name_H-M_alt 'C m c e'
_space_group_IT_number 64
_space_group_name_Hall '-C 2ac 2'
_cell_length_a 5.899
_cell_length_b 15.893
_cell_length_c 7.825
_cell_angle_alpha 90.00
_cell_angle_beta 90.00
_cell_angle_gamma 90.00
loop_
_atom_site_label
_atom_site_fract_x
_atom_site_fract_y
_atom_site_fract_z
_atom_site_occupancy
Sm1 0.000 0.106 0.093 1
Ga1 0.000 0.173 0.480 1
Ga2 0.250 0.062 0.750 1
Ag1 0.000 0.000 0.500 1
Ag2 0.250 0.230 0.750 1
```



Entry from the Alexandria database: a relaxed Sm3Ga4Ag2 crystal (PBE).

Formation enthalpy at 0 K   -0.55 eV/atom
Electronic total energy   -4.100 eV/atom

```
data_Sm3Ga4Ag2
_space_group_name_H-M_alt 'C 1 2/m 1'
_space_group_IT_number 12
_space_group_name_Hall '-C 2y'
_cell_length_a 10.886
_cell_length_b 4.600
_cell_length_c 8.667
_cell_angle_alpha 90.00
_cell_angle_beta 113.23
_cell_angle_gamma 90.00
loop_
_atom_site_label
_atom_site_fract_x
_atom_site_fract_y
_atom_site_fract_z
_atom_site_occupancy
Sm1 0.000 0.000 0.000 1
Sm2 0.170 0.500 0.660 1
Ga1 0.032 0.000 0.369 1
Ga2 0.242 0.500 0.075 1
Ag1 0.103 0.500 0.271 1
```



Entry from the Alexandria database: a relaxed Sm5Ga2Ag2 crystal (PBE).

Formation enthalpy at 0 K   -0.31 eV/atom
Polymorph energy (0 for the lowest one)   45.1 meV/atom
Electronic total energy   -4.237 eV/atom

```
data_Sm5Ga2Ag2
_space_group_name_H-M_alt 'C m c e'
_space_group_IT_number 64
_space_group_name_Hall '-C 2ac 2'
_cell_length_a 15.933
_cell_length_b 7.441
_cell_length_c 8.254
_cell_angle_alpha 90.00
_cell_angle_beta 90.00
_cell_angle_gamma 90.00
loop_
_atom_site_label
_atom_site_fract_x
_atom_site_fract_y
_atom_site_fract_z
_atom_site_occupancy
Sm1 0.000 0.000 0.000 1
Sm2 0.146 0.166 0.327 1
Ga1 0.202 0.000 0.000 1
Ag1 0.000 0.121 0.631 1
```



Entry from the Alexandria database: a relaxed Sm3Ga8Ag3 crystal (PBE).

Formation enthalpy at 0 K   -0.48 eV/atom
Electronic total energy   -3.834 eV/atom

```
data_Sm3Ga8Ag3
_space_group_name_H-M_alt 'I m m m'
_space_group_IT_number 71
_space_group_name_Hall '-I 2 2'
_cell_length_a 4.368
_cell_length_b 9.599
_cell_length_c 13.209
_cell_angle_alpha 90.00
_cell_angle_beta 90.00
_cell_angle_gamma 90.00
loop_
_atom_site_label
_atom_site_fract_x
_atom_site_fract_y
_atom_site_fract_z
_atom_site_occupancy
Sm1 0.000 0.000 0.000 1
Sm2 0.000 0.000 0.301 1
Ga1 0.000 0.281 0.143 1
Ga2 0.000 0.368 0.341 1
Ag1 0.000 0.198 0.500 1
Ag2 0.000 0.500 0.000 1
```



Entry from the Alexandria database: a relaxed Sm6GaAg5 crystal (PBE).

Formation enthalpy at 0 K   -0.33 eV/atom
Electronic total energy   -4.126 eV/atom

```
data_Sm6GaAg5
_space_group_name_H-M_alt 'I m m m'
_space_group_IT_number 71
_space_group_name_Hall '-I 2 2'
_cell_length_a 5.229
_cell_length_b 7.428
_cell_length_c 15.680
_cell_angle_alpha 90.00
_cell_angle_beta 90.00
_cell_angle_gamma 90.00
loop_
_atom_site_label
_atom_site_fract_x
_atom_site_fract_y
_atom_site_fract_z
_atom_site_occupancy
Sm1 0.000 0.247 0.000 1
Sm2 0.000 0.252 0.335 1
Ga1 0.000 0.500 0.500 1
Ag1 0.000 0.000 0.167 1
Ag2 0.000 0.000 0.500 1
Ag3 0.000 0.500 0.166 1
```



Entry from the Alexandria database: a relaxed Sm2Ga12Ag crystal (PBE).

Formation enthalpy at 0 K   -0.30 eV/atom
Electronic total energy   -3.538 eV/atom

```
data_Sm2Ga12Ag
_space_group_name_H-M_alt 'P 4/n b m'
_space_group_IT_number 125
_cell_length_a 6.261
_cell_length_b 6.261
_cell_length_c 15.277
_cell_angle_alpha 90.00
_cell_angle_beta 90.00
_cell_angle_gamma 90.00
loop_
_space_group_symop_operation_xyz
'x,y,z'
'-x,-y,-z'
'-y+1/2,x,z'
'y+1/2,-x,-z'
'-x+1/2,-y+1/2,z'
'x+1/2,y+1/2,-z'
'y,-x+1/2,z'
'-y,x+1/2,-z'
'x,-y+1/2,-z'
'-x,y+1/2,z'
'-y+1/2,-x+1/2,-z'
'y+1/2,x+1/2,z'
'-x+1/2,y,-z'
'x+1/2,-y,z'
'y,x,-z'
'-y,-x,z'
loop_
_atom_site_label
_atom_site_fract_x
_atom_site_fract_y
_atom_site_fract_z
_atom_site_occupancy
Sm1 0.250 0.750 0.247 1
Ga1 0.000 0.000 0.093 1
Ga2 0.082 0.582 0.430 1
Ga3 0.250 0.250 0.186 1
Ga4 0.250 0.250 0.347 1
Ag1 0.250 0.750 0.000 1
```



Entry from the Alexandria database: a relaxed SmGa4Ag6 crystal (PBE).

Formation enthalpy at 0 K   -0.17 eV/atom
Electronic total energy   -3.254 eV/atom

```
data_SmGa4Ag6
_space_group_name_H-M_alt 'P -6 m 2'
_space_group_IT_number 187
_space_group_name_Hall 'P -6 2'
_cell_length_a 7.4838
_cell_length_b 7.4838
_cell_length_c 4.3027
_cell_angle_alpha 90.00
_cell_angle_beta 90.00
_cell_angle_gamma 120.00
loop_
_atom_site_label
_atom_site_fract_x
_atom_site_fract_y
_atom_site_fract_z
_atom_site_occupancy
Sm1 0.0000 0.0000 0.0000 1
Ga1 0.3333 0.6667 0.0000 1
Ga2 0.3923 0.1961 0.5000 1
Ag1 0.2027 0.4055 0.5000 1
Ag2 0.5370 0.0740 0.0000 1
```



Entry from the Alexandria database: a relaxed SmGa3Ag crystal (PBE).

Formation enthalpy at 0 K   -0.42 eV/atom
Polymorph energy (0 for the lowest one)   36.5 meV/atom
Electronic total energy   -3.754 eV/atom

```
data_SmGa3Ag
_space_group_name_H-M_alt 'F m m 2'
_space_group_IT_number 42
_space_group_name_Hall 'F 2 -2'
_cell_length_a 5.973
_cell_length_b 5.977
_cell_length_c 11.298
_cell_angle_alpha 90.00
_cell_angle_beta 90.00
_cell_angle_gamma 90.00
loop_
_atom_site_label
_atom_site_fract_x
_atom_site_fract_y
_atom_site_fract_z
_atom_site_occupancy
Sm1 0.000 0.000 0.000 1
Ga1 0.000 0.000 0.591 1
Ga2 0.250 0.250 0.232 1
Ag1 0.000 0.000 0.369 1
```



Entry from the Alexandria database: a relaxed Sm2Ga7Ag12 crystal (PBE).

Formation enthalpy at 0 K   -0.16 eV/atom
Electronic total energy   -3.247 eV/atom

```
data_Sm2Ga7Ag12
_space_group_name_H-M_alt 'P -3'
_space_group_IT_number 147
_space_group_name_Hall '-P 3'
_cell_length_a 10.7089
_cell_length_b 10.7089
_cell_length_c 4.0702
_cell_angle_alpha 90.00
_cell_angle_beta 90.00
_cell_angle_gamma 120.00
loop_
_atom_site_label
_atom_site_fract_x
_atom_site_fract_y
_atom_site_fract_z
_atom_site_occupancy
Sm1 0.3333 0.6667 0.2457 1
Ga1 0.0000 0.0000 0.5000 1
Ga2 0.1279 0.4202 0.7448 1
Ag1 0.0534 0.6200 0.7510 1
Ag2 0.1152 0.8549 0.2381 1
```



Entry from the Alexandria database: a relaxed Sm3Ga2Ag crystal (PBE).

Formation enthalpy at 0 K   -0.47 eV/atom
Polymorph energy (0 for the lowest one)   0.0 meV/atom
Electronic total energy   -4.315 eV/atom

```
data_Sm3Ga2Ag
_space_group_name_H-M_alt 'P 4/m m m'
_space_group_IT_number 123
_space_group_name_Hall '-P 4 2'
_cell_length_a 3.607
_cell_length_b 3.607
_cell_length_c 11.395
_cell_angle_alpha 90.00
_cell_angle_beta 90.00
_cell_angle_gamma 90.00
loop_
_atom_site_label
_atom_site_fract_x
_atom_site_fract_y
_atom_site_fract_z
_atom_site_occupancy
Sm1 0.000 0.000 0.000 1
Sm2 0.000 0.000 0.326 1
Ga1 0.500 0.500 0.169 1
Ag1 0.500 0.500 0.500 1
```



no.,N(E_F) (states/eV per cell),total moment (μB per formula unit)
1,24.341,0.00
2,9.038,0.00
3,38.871,0.00
4,5.540,0.00
5,20.332,0.00
6,9.903,0.00
7,3.699,0.00
8,5.641,0.00
9,6.864,0.00
10,4.372,0.00